Record 1
# NdErCd4, optimized geometry, DFT PBE
# Energy relative to the lowest polymorph listed for this composition in meV per atom: 59
# Calculated density in g/cm³: 8.5
data_NdErCd4
_chemical_formula_sum 'Nd4 Er4 Cd16'
_cell_length_a 8.408
_cell_length_b 8.408
_cell_length_c 8.408
_cell_angle_alpha 90.00
_cell_angle_beta 90.00
_cell_angle_gamma 90.00
_symmetry_space_group_name_H-M 'F -4 3 m'
_symmetry_Int_Tables_number 216
_symmetry_space_group_name_Hall 'F -4 2 3'
loop_
_atom_site_label
_atom_site_fract_x
_atom_site_fract_y
_atom_site_fract_z
Nd1 0.000 0.000 0.000
Er1 0.250 0.250 0.750
Cd1 0.125 0.125 0.375


Record 2
# Sm4Cd2In, optimized geometry, DFT PBE
# Energy relative to the lowest polymorph listed for this composition in meV per atom: 155
# Calculated density in g/cm³: 6.9
data_Sm4Cd2In
_chemical_formula_sum 'Sm12 Cd6 In3'
_cell_length_a 5.2835
_cell_length_b 5.2835
_cell_length_c 28.0902
_cell_angle_alpha 90.00
_cell_angle_beta 90.00
_cell_angle_gamma 120.00
_symmetry_space_group_name_H-M 'R -3 m'
_symmetry_Int_Tables_number 166
_symmetry_space_group_name_Hall '-R 3 2"'
loop_
_atom_site_label
_atom_site_fract_x
_atom_site_fract_y
_atom_site_fract_z
Sm1 0.0000 0.0000 0.1253
Sm2 0.0000 0.0000 0.2889
Cd1 0.0000 0.0000 0.3998
In1 0.0000 0.0000 0.5000


Record 3
# YMg2Cu4, optimized geometry, DFT PBE
# Energy relative to the lowest polymorph listed for this composition in meV per atom: 882
# Calculated density in g/cm³: 3.8
data_YMg2Cu4
_chemical_formula_sum 'Y2 Mg4 Cu8'
_cell_length_a 4.976
_cell_length_b 4.976
_cell_length_c 13.722
_cell_angle_alpha 90.00
_cell_angle_beta 90.00
_cell_angle_gamma 90.00
_symmetry_space_group_name_H-M 'I 4/m m m'
_symmetry_Int_Tables_number 139
_symmetry_space_group_name_Hall '-I 4 2'
loop_
_atom_site_label
_atom_site_fract_x
_atom_site_fract_y
_atom_site_fract_z
Y1 0.000 0.000 0.000
Mg1 0.000 0.000 0.389
Cu1 0.000 0.000 0.198
Cu2 0.000 0.500 0.000


Record 4
# CePm2ReN4, optimized geometry, DFT PBE
# Electronic total energy in eV/atom: -8.566
# Calculated density in g/cm³: 8.9
data_CePm2ReN4
_chemical_formula_sum 'Ce4 Pm8 Re4 N16'
_cell_length_a 3.498
_cell_length_b 11.888
_cell_length_c 12.026
_cell_angle_alpha 90.00
_cell_angle_beta 90.00
_cell_angle_gamma 90.00
_symmetry_space_group_name_H-M 'C m c m'
_symmetry_Int_Tables_number 63
_symmetry_space_group_name_Hall '-C 2c 2'
loop_
_atom_site_label
_atom_site_fract_x
_atom_site_fract_y
_atom_site_fract_z
Ce1 0.000 0.116 0.250
Pm1 0.000 0.368 0.041
Re1 0.000 0.147 0.750
N1 0.000 0.000 0.000
N2 0.000 0.271 0.636
N3 0.000 0.436 0.250